{
  "formula": "LiPmGa2Pd",
  "functional": "PBE",
  "state": "relaxed",
  "e_form_kcal_per_mol_atoms": -13.7,
  "space_group": "No. 119",
  "cell": [[-2.062, 2.062, 5.657], [2.062, -2.062, 5.657], [2.062, 2.062, -5.657]],
  "species": ["Li", "Pm", "Ga", "Ga", "Pd"],
  "fractional_positions": [[0.000, 0.000, 0.000], [0.750, 0.250, 0.500], [0.135, 0.635, 0.500], [0.365, 0.865, 0.500], [0.500, 0.500, 0.000]]
}

***

{
  "formula": "ScTl2",
  "functional": "PBE",
  "state": "relaxed",
  "e_form_kcal_per_mol_atoms": -1.6,
  "space_group": "No. 164",
  "cell": [[4.933, 0.000, 0.000], [-2.467, 4.273, 0.000], [0.000, 0.000, 3.624]],
  "species": ["Sc", "Tl", "Tl"],
  "fractional_positions": [[0.000, 0.000, 0.000], [0.333, 0.667, 0.331], [0.667, 0.333, 0.669]]
}

***

{
  "formula": "CdCuBr2",
  "functional": "PBE",
  "state": "relaxed",
  "e_above_lowest_polymorph_ev_per_atom": 0.099,
  "space_group": "No. 35",
  "raw_formation_energy_kj_per_mol_atoms": -18.4,
  "cell": [[1.905, -3.574, 0.000], [1.905, 3.574, 0.000], [0.000, 0.000, 9.060]],
  "species": ["Cd", "Cu", "Br", "Br"],
  "fractional_positions": [[0.000, 0.000, 0.000], [0.500, 0.500, 0.787], [0.000, 0.000, 0.627], [0.500, 0.500, 0.208]]
}

***

{
  "formula": "LiCe2Si2Rh5",
  "functional": "PBE",
  "state": "relaxed",
  "space_group": "No. 127",
  "raw_formation_energy_kj_per_mol_atoms": -71.2,
  "cell": [[9.849, 0.000, 0.000], [0.000, 9.849, 0.000], [0.000, 0.000, 3.508]],
  "species": ["Li", "Li", "Ce", "Ce", "Ce", "Ce", "Si", "Si", "Si", "Si", "Rh", "Rh", "Rh", "Rh", "Rh", "Rh", "Rh", "Rh", "Rh", "Rh"],
  "fractional_positions": [[0.000, 0.000, 0.000], [0.500, 0.500, 0.000], [0.176, 0.324, 0.000], [0.324, 0.824, 0.000], [0.676, 0.176, 0.000], [0.824, 0.676, 0.000], [0.124, 0.624, 0.000], [0.376, 0.124, 0.000], [0.624, 0.876, 0.000], [0.876, 0.376, 0.000], [0.000, 0.500, 0.500], [0.069, 0.784, 0.500], [0.216, 0.069, 0.500], [0.284, 0.569, 0.500], [0.431, 0.284, 0.500], [0.500, 0.000, 0.500], [0.569, 0.716, 0.500], [0.716, 0.431, 0.500], [0.784, 0.931, 0.500], [0.931, 0.216, 0.500]]
}

***

no.,theoretical density (Mg/m³),density of states at the Fermi level (states/eV/cell)
1,6.865,4.27
2,9.862,1.01
3,4.519,1.57
4,8.374,22.68